1.
A relaxed structure of LaErAl4, computed with PBE.

The structure belongs to space group F-43m (No. 216); the cell edges are 7.9911, 7.9911 and 7.9911 Å and the angles 90.00°, 90.00° and 90.00°. Symmetry generates all atoms from La at (0.0000, 0.0000, 0.0000), Er at (0.2500, 0.2500, 0.7500) and Al at (0.1249, 0.1249, 0.3751).

As for the formation energy: -2.88 eV per formula unit.

---

2.
A relaxed structure of Ba2AgRu, computed with PBE.

The structure belongs to space group Cm (No. 8); the cell edges are 12.7449, 3.8546 and 5.3777 Å and the angles 90.00°, 114.87° and 90.00°. Symmetry generates all atoms from Ba at (0.0000, 0.0000, 0.0000), Ba at (0.2025, 0.0000, 0.7019), Ag at (0.2983, 0.5000, 0.2980) and Ru at (0.4685, 0.0000, 0.4685).

As for the formation energy: 1.44 eV per formula unit.

---

Copy entry 2 word for word.
A relaxed structure of Ba2AgRu, computed with PBE.

The structure belongs to space group Cm (No. 8); the cell edges are 12.7449, 3.8546 and 5.3777 Å and the angles 90.00°, 114.87° and 90.00°. Symmetry generates all atoms from Ba at (0.0000, 0.0000, 0.0000), Ba at (0.2025, 0.0000, 0.7019), Ag at (0.2983, 0.5000, 0.2980) and Ru at (0.4685, 0.0000, 0.4685).

As for the formation energy: 1.44 eV per formula unit.